--- 1 ---
TiMn3Tl PBE-GGA optimized geometry; crystal system = cubic; theoretical density = 5.592 g cm⁻³; space-group type = Pm-3m, No. 221
1.0
4.985 0.000 0.000
0.000 4.985 0.000
0.000 0.000 4.985
Ti Mn Tl
1 3 1
direct
0.000 0.000 0.000
0.000 0.500 0.500
0.500 0.000 0.500
0.500 0.500 0.000
0.500 0.500 0.500

=====

--- 2 ---
TiMn3Tl PBE-GGA optimized geometry; crystal system = cubic; theoretical density = 7.110 g cm⁻³; space-group type = Pm-3m, No. 221
1.0
4.601 0.000 0.000
0.000 4.601 0.000
0.000 0.000 4.601
Ti Mn Tl
1 3 1
direct
0.000 0.000 0.000
0.000 0.000 0.500
0.000 0.500 0.000
0.500 0.000 0.000
0.500 0.500 0.500

=====

Of them, the most stable is 2 and the least stable is 1.

=====

--- 1 ---
Ti2Mn2Tl PBE-GGA optimized geometry; crystal system = tetragonal; theoretical density = 8.322 g cm⁻³; space-group type = P4/mbm, No. 127
1.0
7.113 0.000 0.000
0.000 7.113 0.000
0.000 0.000 3.234
Ti Mn Tl
4 4 2
direct
0.166 0.334 0.000
0.334 0.834 0.000
0.666 0.166 0.000
0.834 0.666 0.000
0.125 0.625 0.500
0.375 0.125 0.500
0.625 0.875 0.500
0.875 0.375 0.500
0.000 0.000 0.500
0.500 0.500 0.500

=====

--- 2 ---
Ti2Mn2Tl PBE-GGA optimized geometry; crystal system = tetragonal; theoretical density = 8.111 g cm⁻³; space-group type = I4/mmm, No. 139
1.0
3.160 0.000 0.000
0.000 3.160 0.000
0.000 0.000 16.816
Ti Mn Tl
4 4 2
direct
0.000 0.000 0.125
0.000 0.000 0.875
0.500 0.500 0.375
0.500 0.500 0.625
0.000 0.500 0.250
0.000 0.500 0.750
0.500 0.000 0.250
0.500 0.000 0.750
0.000 0.000 0.500
0.500 0.500 0.000

=====

Of them, the most stable is 1 and the least stable is 2.

=====

--- 1 ---
Ti2MnTl2 PBE-GGA optimized geometry; crystal system = tetragonal; theoretical density = 9.539 g cm⁻³; space-group type = P4/mbm, No. 127
1.0
6.299 0.000 0.000
0.000 6.299 0.000
0.000 0.000 4.909
Ti Mn Tl
4 2 4
direct
0.163 0.337 0.000
0.337 0.837 0.000
0.663 0.163 0.000
0.837 0.663 0.000
0.000 0.000 0.000
0.500 0.500 0.000
0.170 0.670 0.500
0.330 0.170 0.500
0.670 0.830 0.500
0.830 0.330 0.500

=====

--- 2 ---
Ti2MnTl2 PBE-GGA optimized geometry; crystal system = tetragonal; theoretical density = 8.710 g cm⁻³; space-group type = I4/mmm, No. 139
1.0
3.902 0.000 0.000
0.000 3.902 0.000
0.000 0.000 14.009
Ti Mn Tl
4 2 4
direct
0.000 0.000 0.082
0.000 0.000 0.918
0.500 0.500 0.418
0.500 0.500 0.582
0.000 0.000 0.500
0.500 0.500 0.000
0.000 0.500 0.250
0.000 0.500 0.750
0.500 0.000 0.250
0.500 0.000 0.750

=====

Of them, the most stable is 1 and the least stable is 2.